Material: AlInSe2
Method: DFT, PBE
State: relaxed

Lattice parameters (Å, degrees): 6.075 7.144 7.211 84.34 70.33 73.55
Space group P1 (No. 1)
One atom of each set of equivalent atoms:
Al (0.000, 0.000, 0.000) [1 per cell]
Al (0.500, 0.011, 0.991) [1 per cell]
In (0.028, 0.135, 0.470) [1 per cell]
In (0.869, 0.520, 0.143) [1 per cell]
Se (0.236, 0.224, 0.826) [1 per cell]
Se (0.257, 0.794, 0.175) [1 per cell]
Se (0.607, 0.173, 0.214) [1 per cell]
Se (0.895, 0.830, 0.780) [1 per cell]

Summary:
D(E_F), states/eV per cell: 0.00
Calculated total energy, eV for the cell shown: -32.1
Raw formation energy, kJ/mol of atoms: -63.1